Entry 1:
Computed, not measured: a relaxed structure of BaPRhO2 at the GGA-PBE level of DFT.

Output
Offset from the most stable computed form ... 1394 meV per atom

Geometry as POSCAR:
```
BaPRhO2
1.0
-1.429 3.862 -1.222
-3.768 -0.791 1.905
2.449 2.808 6.009
P Rh Ba O
1 1 1 2
direct
0.000 0.000 0.500 P
0.500 0.500 0.500 Rh
0.000 0.000 0.000 Ba
0.000 0.500 0.000 O
0.500 0.000 0.000 O
```

---

Entry 2:
Computed, not measured: a relaxed structure of BePtIO2 at the GGA-PBE level of DFT.

Output
Offset from the most stable computed form ... 0 meV per atom

Geometry as POSCAR:
```
BePtIO2
1.0
-1.280 -2.921 -1.679
2.598 -2.000 1.498
-4.146 -1.311 5.440
I Be O Pt
1 1 2 1
direct
0.000 0.000 0.500 I
0.000 0.000 0.000 Be
0.000 0.500 0.000 O
0.500 0.000 0.000 O
0.500 0.500 0.500 Pt
```

---

Entry 3:
Computed, not measured: a relaxed structure of Na6GeCl8 at the GGA-PBE level of DFT.

Geometry as POSCAR:
```
Na6GeCl8
1.0
6.977 0.000 4.028
2.326 6.578 4.028
0.000 0.000 8.056
Na Ge Cl
6 1 8
direct
0.000 0.500 0.500 Na
0.500 0.000 0.000 Na
0.500 0.500 0.000 Na
0.000 0.000 0.500 Na
0.000 0.500 0.000 Na
0.500 0.000 0.500 Na
0.000 0.000 0.000 Ge
0.750 0.750 0.750 Cl
0.250 0.250 0.250 Cl
0.763 0.237 0.237 Cl
0.237 0.763 0.763 Cl
0.237 0.237 0.763 Cl
0.763 0.763 0.237 Cl
0.763 0.237 0.763 Cl
0.237 0.763 0.237 Cl
```

---

Entry 4:
Computed, not measured: a relaxed structure of YBeBr3 at the GGA-PBE level of DFT.

Output
Offset from the most stable computed form ... 281 meV per atom

Geometry as POSCAR:
```
YBeBr3
1.0
-4.081 2.162 1.483
-2.621 -3.448 -2.186
0.080 -2.640 4.069
Y Be Br
1 1 3
direct
0.500 0.500 0.500 Y
0.000 0.000 0.000 Be
0.000 0.500 0.000 Br
0.000 0.000 0.500 Br
0.500 0.000 0.000 Br
```

---

Entry 5:
Computed, not measured: a relaxed structure of DyTm4 at the GGA-PBE level of DFT.

Output
Offset from the most stable computed form ... 429 meV per atom
Formation energy from the elements ... 457 meV/atom

Geometry as POSCAR:
```
DyTm4
1.0
7.563 -0.261 0.000
-3.268 6.826 0.000
-2.148 -3.282 6.472
Dy Tm
2 8
direct
0.500 0.500 0.000 Dy
0.250 0.750 0.500 Dy
0.713 0.397 0.316 Tm
0.081 0.397 0.684 Tm
0.147 0.331 0.184 Tm
0.147 0.963 0.816 Tm
0.669 0.853 0.816 Tm
0.037 0.853 0.184 Tm
0.603 0.919 0.316 Tm
0.603 0.287 0.684 Tm
```

---

Entry 6:
Computed, not measured: a relaxed structure of KLaY2 at the GGA-PBE level of DFT.

Output
Offset from the most stable computed form ... 33 meV per atom
Formation energy from the elements ... 220 meV/atom

Geometry as POSCAR:
```
KLaY2
1.0
-3.318 -7.081 -10.652
-1.594 -9.743 -8.784
-5.150 -9.049 -8.138
K La Y
1 1 2
direct
0.250 0.250 0.250 K
0.750 0.750 0.750 La
0.010 0.010 0.010 Y
0.490 0.490 0.490 Y
```

---

Entry 7:
Computed, not measured: a relaxed structure of SrZr2Rh at the GGA-PBE level of DFT.

Output
Offset from the most stable computed form ... 163 meV per atom
Formation energy from the elements ... -14 meV/atom

Geometry as POSCAR:
```
SrZr2Rh
1.0
5.723 -0.093 -0.002
4.681 3.292 -0.002
3.262 1.003 5.454
Rh Sr Zr
1 1 2
direct
0.458 0.458 0.712 Rh
0.194 0.194 0.255 Sr
0.036 0.036 0.917 Zr
0.812 0.812 0.616 Zr
```

---

Entry 8:
Computed, not measured: a relaxed structure of TlZnAgBi at the GGA-PBE level of DFT.

Output
Formation energy from the elements ... 148 meV/atom

Geometry as POSCAR:
```
TlZnAgBi
1.0
5.169 0.000 0.000
2.584 4.476 0.000
2.584 1.492 4.220
Zn Tl Bi Ag
1 1 1 1
direct
0.750 0.750 0.750 Zn
0.000 0.000 0.000 Tl
0.500 0.500 0.500 Bi
0.250 0.250 0.250 Ag
```

---

Entry 9:
Computed, not measured: a relaxed structure of Y3AgPd2 at the GGA-PBE level of DFT.

Output
Offset from the most stable computed form ... 0 meV per atom
Formation energy from the elements ... -690 meV/atom

Geometry as POSCAR:
```
Y3AgPd2
1.0
-1.943 -2.997 -0.055
1.695 -1.045 -2.965
7.358 -4.879 5.925
Y Ag Pd
3 1 2
direct
0.000 0.000 0.000 Y
0.000 0.000 0.677 Y
0.000 0.000 0.323 Y
0.500 0.500 0.500 Ag
0.500 0.500 0.836 Pd
0.500 0.500 0.164 Pd
```

---

Entry 10:
Computed, not measured: a relaxed structure of GaFeReH at the GGA-PBE level of DFT.

Output
Offset from the most stable computed form ... 33 meV per atom

Geometry as POSCAR:
```
GaFeReH
1.0
2.760 0.000 0.000
0.000 2.732 0.000
0.000 0.000 11.663
Ga Fe Re H
2 2 2 2
direct
0.500 0.000 0.340 Ga
0.500 0.500 0.840 Ga
0.500 0.000 0.031 Fe
0.500 0.500 0.531 Fe
0.000 0.000 0.668 Re
0.000 0.500 0.168 Re
0.000 0.000 0.955 H
0.000 0.500 0.455 H
```

---

Entry 11:
Computed, not measured: a relaxed structure of ZnFe2Si at the GGA-PBE level of DFT.

Geometry as POSCAR:
```
ZnFe2Si
1.0
3.564 0.000 0.000
0.000 2.586 0.015
0.000 2.032 5.191
Fe Si Zn
2 1 1
direct
0.000 0.038 0.021 Fe
0.000 0.462 0.479 Fe
0.500 0.250 0.250 Si
0.500 0.750 0.750 Zn
```

---

Entry 12:
Computed, not measured: a relaxed structure of NiBiTePd2 at the GGA-PBE level of DFT.

Geometry as POSCAR:
```
NiBiTePd2
1.0
5.020 0.000 0.000
0.000 5.971 0.000
0.000 0.000 5.020
Ni Te Bi Pd
1 1 1 2
direct
0.500 0.500 0.500 Ni
0.000 0.500 0.000 Te
0.000 0.000 0.000 Bi
0.000 0.000 0.500 Pd
0.500 0.000 0.000 Pd
```

---

Entry 13:
Computed, not measured: a relaxed structure of ZrCl3 at the GGA-PBE level of DFT.

Geometry as POSCAR:
```
ZrCl3
1.0
-2.906 -1.609 -1.158
0.534 -3.180 3.076
-3.884 3.744 4.545
Zr Cl
1 3
direct
0.000 0.500 0.219 Zr
0.000 0.000 0.060 Cl
0.500 0.000 0.438 Cl
0.500 0.500 0.950 Cl
```

---

Entry 14:
Computed, not measured: a relaxed structure of Pr4Ga2O at the GGA-PBE level of DFT.

Output
Offset from the most stable computed form ... 115 meV per atom

Geometry as POSCAR:
```
Pr4Ga2O
1.0
-0.598 0.619 3.527
6.640 -1.383 1.368
-0.411 7.561 -1.396
Pr Ga O
4 2 1
direct
0.500 0.152 0.879 Pr
0.000 0.463 0.268 Pr
0.500 0.990 0.264 Pr
0.000 0.680 0.875 Pr
0.500 0.376 0.576 Ga
0.500 0.767 0.567 Ga
0.000 0.071 0.071 O
```

---

Entry 15:
Computed, not measured: a relaxed structure of MgScTiMo at the GGA-PBE level of DFT.

Output
Formation energy from the elements ... 101 meV/atom

Geometry as POSCAR:
```
MgScTiMo
1.0
4.688 0.000 0.000
2.344 4.060 0.000
2.344 1.353 3.827
Sc Mo Mg Ti
1 1 1 1
direct
0.500 0.500 0.500 Sc
0.250 0.250 0.250 Mo
0.750 0.750 0.750 Mg
0.000 0.000 0.000 Ti
```

---

Entry 16:
Computed, not measured: a relaxed structure of PmDy6Ga3 at the GGA-PBE level of DFT.

Output
Formation energy from the elements ... -306 meV/atom

Geometry as POSCAR:
```
PmDy6Ga3
1.0
-1.810 -1.847 -7.863
-1.142 -7.960 2.133
-7.732 2.865 1.107
Pm Dy Ga
2 12 6
direct
0.029 0.331 0.669 Pm
0.529 0.669 0.331 Pm
0.166 0.734 0.601 Dy
0.666 0.601 0.734 Dy
0.308 0.588 0.943 Dy
0.808 0.943 0.588 Dy
0.189 0.034 0.966 Dy
0.516 0.224 0.776 Dy
0.016 0.776 0.224 Dy
0.689 0.966 0.034 Dy
0.308 0.057 0.412 Dy
0.808 0.412 0.057 Dy
0.166 0.399 0.266 Dy
0.666 0.266 0.399 Dy
0.469 0.880 0.718 Ga
0.969 0.718 0.880 Ga
0.365 0.430 0.570 Ga
0.865 0.570 0.430 Ga
0.969 0.120 0.282 Ga
0.469 0.282 0.120 Ga
```

---

Entry 17:
Computed, not measured: a relaxed structure of Pr6DyHoEr2 at the GGA-PBE level of DFT.

Output
Formation energy from the elements ... 116 meV/atom

Geometry as POSCAR:
```
Pr6DyHoEr2
1.0
-5.852 1.034 7.657
-1.476 -8.834 -0.720
7.337 2.639 4.466
Pr Dy Ho Er
12 2 2 4
direct
0.054 0.114 0.763 Pr
0.446 0.237 0.886 Pr
0.946 0.886 0.237 Pr
0.554 0.763 0.114 Pr
0.312 0.993 0.437 Pr
0.188 0.563 0.007 Pr
0.688 0.007 0.563 Pr
0.812 0.437 0.993 Pr
0.118 0.706 0.489 Pr
0.382 0.511 0.294 Pr
0.882 0.294 0.511 Pr
0.618 0.489 0.706 Pr
0.250 0.972 0.028 Dy
0.750 0.028 0.972 Dy
0.250 0.411 0.589 Ho
0.750 0.589 0.411 Ho
0.453 0.800 0.705 Er
0.047 0.295 0.200 Er
0.547 0.200 0.295 Er
0.953 0.705 0.800 Er
```

---

Entry 18:
Computed, not measured: a relaxed structure of NaZnAs2O6 at the GGA-PBE level of DFT.

Geometry as POSCAR:
```
NaZnAs2O6
1.0
6.111 0.098 0.102
2.078 6.997 -0.022
2.078 -0.281 6.991
Na Zn As O
2 2 4 12
direct
0.250 0.887 0.113 Na
0.750 0.113 0.887 Na
0.250 0.218 0.782 Zn
0.750 0.782 0.218 Zn
0.309 0.777 0.614 As
0.191 0.386 0.223 As
0.691 0.223 0.386 As
0.809 0.614 0.777 As
0.175 0.966 0.785 O
0.325 0.215 0.034 O
0.825 0.034 0.215 O
0.675 0.785 0.966 O
0.417 0.851 0.385 O
0.083 0.615 0.149 O
0.583 0.149 0.615 O
0.917 0.385 0.851 O
0.059 0.677 0.611 O
0.441 0.389 0.323 O
0.941 0.323 0.389 O
0.559 0.611 0.677 O
```

---

Entry 19:
Computed, not measured: a relaxed structure of ZrCuRe2 at the GGA-PBE level of DFT.

Output
Offset from the most stable computed form ... 143 meV per atom
Formation energy from the elements ... 163 meV/atom

Geometry as POSCAR:
```
ZrCuRe2
1.0
-3.805 0.957 -2.541
-0.884 -2.644 0.329
-2.494 0.971 4.100
Cu Re Zr
1 2 1
direct
0.500 0.750 0.750 Cu
0.000 0.941 0.996 Re
0.000 0.559 0.504 Re
0.500 0.250 0.250 Zr
```

---

Entry 20:
Computed, not measured: a relaxed structure of La10DyEr4 at the GGA-PBE level of DFT.

Output
Formation energy from the elements ... 631 meV/atom

Geometry as POSCAR:
```
La10DyEr4
1.0
-6.258 -2.082 -4.401
2.278 -4.083 -8.450
-3.177 -8.975 1.620
La Dy Er
10 1 4
direct
0.250 0.500 0.500 La
0.650 0.300 0.899 La
0.050 0.101 0.300 La
0.451 0.899 0.700 La
0.849 0.700 0.101 La
0.350 0.700 0.101 La
0.750 0.500 0.500 La
0.151 0.300 0.899 La
0.549 0.101 0.300 La
0.950 0.899 0.700 La
0.000 0.000 0.000 Dy
0.400 0.801 0.400 Er
0.800 0.600 0.801 Er
0.200 0.400 0.199 Er
0.600 0.199 0.600 Er
```

---

no.,raw total energy (eV/cell),DOS(E_F) (states/eV/cell)
1,-21.228,7.245
2,-21.035,7.140
3,-51.392,0.000
4,-17.218,3.433
5,-40.409,10.255
6,-18.072,6.756
7,-26.187,3.528
8,-9.780,1.907
9,-36.768,4.417
10,-53.978,4.903
11,-24.011,3.090
12,-17.504,6.487
13,-18.600,1.561
14,-36.742,4.883
15,-26.248,3.140
16,-89.011,23.676
17,-91.651,29.507
18,-109.320,2.772
19,-36.888,3.033
20,-62.658,27.448